A geometry-optimized K3Ni2PdF9 structure. Source: Alexandria, functional PBE with a Hubbard U.

## Properties
Theoretical density: 3.92 g/cm³
E_tot: -64.03 eV per cell
Magnetization: 0.40 μB per atom

The structure in CIF format:
```
data_K3Ni2PdF9
_space_group_name_H-M_alt 'P -3 m 1'
_space_group_IT_number 164
_space_group_name_Hall '-P 3 2"'
_cell_length_a 5.8812
_cell_length_b 5.8812
_cell_length_c 7.2346
_cell_angle_alpha 90.00
_cell_angle_beta 90.00
_cell_angle_gamma 120.00
loop_
_atom_site_label
_atom_site_type_symbol
_atom_site_fract_x
_atom_site_fract_y
_atom_site_fract_z
_atom_site_occupancy
K1 K 0.0000 0.0000 0.0000 1
K2 K 0.3333 0.6667 0.6651 1
Ni1 Ni 0.3333 0.6667 0.1556 1
Pd1 Pd 0.0000 0.0000 0.5000 1
F1 F 0.0000 0.5000 0.0000 1
F2 F 0.1730 0.3460 0.3218 1
```